6
Lattice="4.441 0.000 0.000 0.000 3.250 0.000 -0.091 0.000 5.512" Properties=species:S:1:pos:R:3 comment="B2PdPt3 (PBE, relaxed)" dft_energy_ev_per_atom=-6.389 space_group="Pm, No. 6" pbc="T T T"
Pt 3.267 1.625 4.619
Pt 1.093 1.625 0.900
Pd 3.298 0.000 1.861
B -0.061 0.000 5.496
B 2.120 1.625 2.774
Pt 1.068 0.000 3.642

***

3
Lattice="0.000 3.266 3.266 3.266 0.000 3.266 3.266 3.266 0.000" Properties=species:S:1:pos:R:3 comment="LuHgIr (PBE, relaxed)" dft_energy_ev_per_atom=-4.949 space_group="F-43m, No. 216" pbc="T T T"
Lu 4.899 4.899 4.899
Ir 0.000 0.000 0.000
Hg 1.633 1.633 1.633

***

6
Lattice="5.238 0.000 0.000 -2.619 4.536 0.000 0.000 0.000 6.633" Properties=species:S:1:pos:R:3 comment="GdDy2ErAl2 (PBE, relaxed)" dft_energy_ev_per_atom=-4.586 space_group="P-6m2, No. 187" pbc="T T T"
Dy 0.000 3.024 4.986
Dy 0.000 3.024 1.647
Al 2.619 1.512 0.000
Er 0.000 0.000 0.000
Al 0.000 0.000 3.317
Gd 2.619 1.512 3.317

***

13
Lattice="2.536 1.464 8.668 -2.536 1.464 8.668 0.000 -2.929 8.668" Properties=species:S:1:pos:R:3 comment="Ni5W8 (PBE, relaxed)" dft_energy_ev_per_atom=-9.793 polymorph_energy_mev_per_atom=0 space_group="R-3m, No. 166" pbc="T T T"
W 0.000 0.000 9.157
W 0.000 1.455 19.441
Ni 0.000 0.000 0.000
W -1.260 0.728 6.564
W 1.260 -0.728 19.441
Ni 0.000 0.000 4.319
Ni 0.000 0.000 21.686
W -1.260 -0.728 19.441
W 0.000 0.000 16.848
W 1.260 0.728 6.564
Ni 0.000 0.000 14.140
W 0.000 -1.455 6.564
Ni 0.000 0.000 11.865